1.
# Pm2Sm7Er3

Crystalline Pm2Sm7Er3 at its relaxed geometry (PBE, Alexandria).

Summary:
As for the formation energy: 0.114 eV per atom. Its crystal system is orthorhombic. The density of states at the Fermi level comes out at 1.57 states/eV/atom. As for the size of the total moment: 0.00 μB/cell.

```
data_Pm2Sm7Er3
_chemical_formula_sum 'Pm4 Sm14 Er6'
_space_group_name_H-M_alt 'C m m m'
_space_group_IT_number 65
_space_group_name_Hall '-C 2 2'
_cell_length_a 5.770
_cell_length_b 38.133
_cell_length_c 3.638
_cell_angle_alpha 90.00
_cell_angle_beta 90.00
_cell_angle_gamma 90.00
loop_
_atom_site_label
_atom_site_type_symbol
_atom_site_fract_x
_atom_site_fract_y
_atom_site_fract_z
Pm1 Pm 0.000 0.148 0.000
Sm1 Sm 0.000 0.000 0.000
Sm2 Sm 0.000 0.072 0.500
Sm3 Sm 0.000 0.231 0.000
Sm4 Sm 0.000 0.409 0.000
Er1 Er 0.000 0.315 0.500
Er2 Er 0.000 0.500 0.500
```

---

2.
# NaBiH8Rh4

Crystalline NaBiH8Rh4 at its relaxed geometry (PBE, Alexandria).

Summary:
Its crystal system is trigonal. The density of states at the Fermi level comes out at 0.14 states/eV/atom. As for the total energy: -4.379 eV per atom. As for the size of the total moment: 0.00 μB/cell.

```
data_NaBiH8Rh4
_chemical_formula_sum 'Na3 Bi3 H24 Rh12'
_space_group_name_H-M_alt 'R 3 m'
_space_group_IT_number 160
_space_group_name_Hall 'R 3 -2"'
_cell_length_a 5.6013
_cell_length_b 5.6013
_cell_length_c 15.2960
_cell_angle_alpha 90.00
_cell_angle_beta 90.00
_cell_angle_gamma 120.00
loop_
_atom_site_label
_atom_site_type_symbol
_atom_site_fract_x
_atom_site_fract_y
_atom_site_fract_z
Na1 Na 0.0000 0.0000 0.0000
Bi1 Bi 0.0000 0.0000 0.6287
H1 H 0.0000 0.0000 0.3968
H2 H 0.0000 0.0000 0.8555
H3 H 0.0135 0.5068 0.4266
H4 H 0.0633 0.5316 0.8504
Rh1 Rh 0.0000 0.0000 0.2641
Rh2 Rh 0.0038 0.5019 0.1365
```

---

3.
# Ba3LiCu2O6

Crystalline Ba3LiCu2O6 at its relaxed geometry (PBE, Alexandria).

Summary:
The value obtained for the uncorrected formation energy is -1561.9 meV/atom. Its crystal system is trigonal. The density of states at the Fermi level comes out at 0.36 states/eV/atom. As for the size of the total moment: 3.07 μB/cell.

```
data_Ba3LiCu2O6
_chemical_formula_sum 'Ba3 Li1 Cu2 O6'
_space_group_name_H-M_alt 'P -3 m 1'
_space_group_IT_number 164
_space_group_name_Hall '-P 3 2"'
_cell_length_a 5.9838
_cell_length_b 5.9838
_cell_length_c 6.9197
_cell_angle_alpha 90.00
_cell_angle_beta 90.00
_cell_angle_gamma 120.00
loop_
_atom_site_label
_atom_site_type_symbol
_atom_site_fract_x
_atom_site_fract_y
_atom_site_fract_z
Ba1 Ba 0.0000 0.0000 0.0000
Ba2 Ba 0.3333 0.6667 0.6522
Li1 Li 0.0000 0.0000 0.5000
Cu1 Cu 0.3333 0.6667 0.2211
O1 O 0.1649 0.3298 0.2957
```

---

4.
# Zr3TiS

Crystalline Zr3TiS at its relaxed geometry (PBE, Alexandria).

Summary:
The value obtained for the uncorrected formation energy is -518.3 meV/atom. Its crystal system is orthorhombic. The density of states at the Fermi level comes out at 0.79 states/eV/atom. As for the size of the total moment: 0.00 μB/cell.

```
data_Zr3TiS
_chemical_formula_sum 'Zr12 Ti4 S4'
_space_group_name_H-M_alt 'I m m a'
_space_group_IT_number 74
_space_group_name_Hall '-I 2b 2'
_cell_length_a 6.565
_cell_length_b 9.608
_cell_length_c 6.612
_cell_angle_alpha 90.00
_cell_angle_beta 90.00
_cell_angle_gamma 90.00
loop_
_atom_site_label
_atom_site_type_symbol
_atom_site_fract_x
_atom_site_fract_y
_atom_site_fract_z
Zr1 Zr 0.000 0.250 0.041
Zr2 Zr 0.250 0.012 0.250
Ti1 Ti 0.000 0.250 0.487
S1 S 0.250 0.250 0.750
```

---

Question: Which value of size of the total moment does entry 1 give?
Answer: 0.00 μB/cell

---

Copy entry 3 word for word.
# Ba3LiCu2O6

Crystalline Ba3LiCu2O6 at its relaxed geometry (PBE, Alexandria).

Summary:
The value obtained for the uncorrected formation energy is -1561.9 meV/atom. Its crystal system is trigonal. The density of states at the Fermi level comes out at 0.36 states/eV/atom. As for the size of the total moment: 3.07 μB/cell.

```
data_Ba3LiCu2O6
_chemical_formula_sum 'Ba3 Li1 Cu2 O6'
_space_group_name_H-M_alt 'P -3 m 1'
_space_group_IT_number 164
_space_group_name_Hall '-P 3 2"'
_cell_length_a 5.9838
_cell_length_b 5.9838
_cell_length_c 6.9197
_cell_angle_alpha 90.00
_cell_angle_beta 90.00
_cell_angle_gamma 120.00
loop_
_atom_site_label
_atom_site_type_symbol
_atom_site_fract_x
_atom_site_fract_y
_atom_site_fract_z
Ba1 Ba 0.0000 0.0000 0.0000
Ba2 Ba 0.3333 0.6667 0.6522
Li1 Li 0.0000 0.0000 0.5000
Cu1 Cu 0.3333 0.6667 0.2211
O1 O 0.1649 0.3298 0.2957
```